First-principles (PBE) data for a relaxed CdHBr crystal, as listed in the Alexandria database.

a = 5.5947 Å, b = 3.6698 Å, c = 4.1972 Å
α = 90.00°, β = 89.95°, γ = 49.05°
With the nearest neighbours (Å) after each atom.
Fractional positions:
Br1 0.7619 0.2731 0.9433  4 Cd 2.84-3.13
H1 0.2771 0.2582 0.4437  2 Cd 1.85
Cd1 0.2153 0.8200 0.4417  2 H 1.85

Total energy (eV/cell): -6.753
Space-group type: No. 6
Energy above the most stable polymorph in this dataset (eV per atom): 0.000
Size of the total moment (μB per atom): 0.000



First-principles (PBE) data for a relaxed CdHBr3 crystal, as listed in the Alexandria database.

a = 4.7828 Å, b = 4.7828 Å, c = 4.7828 Å
α = 90.00°, β = 90.00°, γ = 90.00°
With the nearest neighbours (Å) after each atom.
Fractional positions:
Br1 0.5000 0.0000 0.0000  2 H 2.39
Br2 0.0000 0.5000 0.0000  2 H 2.39
Cd1 0.5000 0.5000 0.5000  12 Br 3.38
Br3 0.0000 0.0000 0.5000  2 H 2.39
H1 0.0000 0.0000 0.0000  6 Br 2.39

Total energy (eV/cell): -7.610
Space-group type: No. 221
Energy above the most stable polymorph in this dataset (eV per atom): 0.918
Size of the total moment (μB per atom): 0.000



First-principles (PBE) data for a relaxed CdHBr3 crystal, as listed in the Alexandria database.

a = 5.5114 Å, b = 5.5114 Å, c = 5.5114 Å
α = 90.00°, β = 90.00°, γ = 90.00°
With the nearest neighbours (Å) after each atom.
Fractional positions:
Br1 0.0000 0.5000 0.0000  2 Cd 2.76
H1 0.5000 0.5000 0.5000  12 Br 3.90
Br2 0.0000 0.0000 0.5000  2 Cd 2.76
Br3 0.5000 0.0000 0.0000  2 Cd 2.76
Cd1 0.0000 0.0000 0.0000  6 Br 2.76

Total energy (eV/cell): -8.279
Space-group type: No. 221
Energy above the most stable polymorph in this dataset (eV per atom): 0.785
Size of the total moment (μB per atom): 0.395



First-principles (PBE) data for a relaxed Cd3HBr crystal, as listed in the Alexandria database.

a = 6.3175 Å, b = 6.3175 Å, c = 6.3175 Å
α = 90.00°, β = 90.00°, γ = 90.00°
With the nearest neighbours (Å) after each atom.
Fractional positions:
Br1 0.0000 0.0000 0.0000  6 Cd 3.16
H1 0.5000 0.5000 0.5000  12 Cd 4.47
Cd1 0.5000 0.0000 0.0000  2 Br 3.16
Cd2 0.0000 0.0000 0.5000  2 Br 3.16
Cd3 0.0000 0.5000 0.0000  2 Br 3.16

Total energy (eV/cell): -3.928
Space-group type: No. 221
Energy above the most stable polymorph in this dataset (eV per atom): 0.550
Size of the total moment (μB per atom): 0.085



First-principles (PBE) data for a relaxed CdHBr crystal, as listed in the Alexandria database.

a = 4.2522 Å, b = 5.8022 Å, c = 6.5015 Å
α = 105.03°, β = 90.03°, γ = 89.95°
With the nearest neighbours (Å) after each atom.
Fractional positions:
Cd1 0.8717 0.1042 0.8409  1 H 1.72
Br1 0.8730 0.9392 0.1993  3 Cd 2.74-2.84
Cd2 0.3735 0.6164 0.0464  1 H 1.72
H1 0.8725 0.3664 0.7644  1 Cd 1.72
Br2 0.3722 0.7814 0.6881  3 Cd 2.74-2.84
H2 0.3727 0.3541 0.1229  1 Cd 1.72

Total energy (eV/cell): -13.343
Space-group type: No. 2
Energy above the most stable polymorph in this dataset (eV per atom): 0.027
Size of the total moment (μB per atom): 0.000



First-principles (PBE) data for a relaxed CdHBr3 crystal, as listed in the Alexandria database.

a = 7.0525 Å, b = 8.3800 Å, c = 12.0732 Å
α = 90.62°, β = 90.00°, γ = 90.00°
With the nearest neighbours (Å) after each atom.
Fractional positions:
Br1 0.5335 0.4868 0.1577  1 H 1.45
Br2 0.9665 0.4868 0.6577  1 H 1.45
H1 0.8038 0.4955 0.7306  1 Br 1.45
Br3 0.0335 0.5132 0.3423  1 H 1.45
Br4 0.4953 0.9871 0.1636  2 Cd 2.65-2.67
Br5 0.0047 0.9871 0.6636  2 Cd 2.65-2.67
H2 0.6962 0.4955 0.2306  1 Br 1.45
Br6 0.9969 0.7622 0.9935  2 Cd 2.65-2.66
Br7 0.0031 0.2378 0.0065  2 Cd 2.65-2.66
H3 0.3038 0.5045 0.7694  1 Br 1.45
Br8 0.4665 0.5132 0.8423  1 H 1.45
Br9 0.4969 0.2378 0.5065  2 Cd 2.65-2.66
Br10 0.5031 0.7622 0.4935  2 Cd 2.65-2.66
Cd1 0.2515 0.9972 0.4966  4 Br 2.65-2.67
Br11 0.9953 0.0129 0.3364  2 Cd 2.65-2.67
Cd2 0.7485 0.0028 0.5034  4 Br 2.65-2.67
Cd3 0.2485 0.9972 0.9966  4 Br 2.65-2.67
Cd4 0.7515 0.0028 0.0034  4 Br 2.65-2.67
H4 0.1962 0.5045 0.2694  1 Br 1.45
Br12 0.5047 0.0129 0.8364  2 Cd 2.65-2.67

Total energy (eV/cell): -48.809
Space-group type: No. 14
Energy above the most stable polymorph in this dataset (eV per atom): 0.000
Size of the total moment (μB per atom): 0.000



First-principles (PBE) data for a relaxed CdH6Br crystal, as listed in the Alexandria database.

a = 6.9008 Å, b = 3.8405 Å, c = 8.2319 Å
α = 138.52°, β = 67.87°, γ = 115.06°
With the nearest neighbours (Å) after each atom.
Fractional positions:
Br1 0.9648 0.0335 0.0226  1 H 1.52
H1 0.2799 0.8552 0.5411  1 H 0.75
H2 0.4399 0.5862 0.9802  2 Cd 1.89-1.96
H3 0.6872 0.1871 0.5568  1 H 0.76
H4 0.7109 0.9097 0.4540  1 H 0.76
H5 0.1874 0.7446 0.4752  1 H 0.75
H6 0.7763 0.6049 0.9955  1 Br 1.52
Cd1 0.4535 0.0787 0.9746  2 H 1.89-1.96

Total energy (eV/cell): -22.078
Space-group type: No. 1
Size of the total moment (μB per atom): 0.000



First-principles (PBE) data for a relaxed Cd2HBr2 crystal, as listed in the Alexandria database.

a = 9.0865 Å, b = 9.0865 Å, c = 3.9665 Å
α = 90.00°, β = 90.00°, γ = 90.00°
With the nearest neighbours (Å) after each atom.
Fractional positions:
Br1 0.2518 0.2482 0.0000  2 Cd 2.72
H1 0.5000 0.5000 0.0000  4 Br 3.21
Br2 0.7482 0.7518 0.0000  2 Cd 2.72
Br3 0.7518 0.2518 0.0000  2 Cd 2.72
Cd1 0.6038 0.8962 0.5000  1 Cd 2.67, 2 Br 2.72
Cd2 0.3962 0.1038 0.5000  1 Cd 2.67, 2 Br 2.72
H2 0.0000 0.0000 0.0000  4 Br 3.21
Cd3 0.1038 0.6038 0.5000  1 Cd 2.67, 2 Br 2.72
Br4 0.2482 0.7482 0.0000  2 Cd 2.72
Cd4 0.8962 0.3962 0.5000  1 Cd 2.67, 2 Br 2.72

Total energy (eV/cell): -17.108
Space-group type: No. 127
Energy above the most stable polymorph in this dataset (eV per atom): 0.000
Size of the total moment (μB per atom): 0.200



First-principles (PBE) data for a relaxed Cd2HBr crystal, as listed in the Alexandria database.

a = 5.2645 Å, b = 5.2645 Å, c = 7.8134 Å
α = 70.31°, β = 70.31°, γ = 90.00°
With the nearest neighbours (Å) after each atom.
Fractional positions:
Cd1 0.3750 0.5242 0.7500  2 H 2.23
Br1 0.7500 0.2500 0.5000  4 Cd 3.02
Cd2 0.4758 0.1250 0.2500  2 H 2.23
H1 0.2500 0.7500 0.5000  4 Cd 2.23
H2 0.5000 0.5000 0.0000  4 Cd 2.23
Cd3 0.2742 0.6250 0.2500  2 H 2.23
Cd4 0.8750 0.7258 0.7500  2 H 2.23
Br2 0.0000 0.0000 0.0000  4 Cd 3.02

Total energy (eV/cell): -13.776
Space-group type: No. 122
Energy above the most stable polymorph in this dataset (eV per atom): 0.000
Size of the total moment (μB per atom): 0.000



First-principles (PBE) data for a relaxed Cd2HBr2 crystal, as listed in the Alexandria database.

a = 5.8373 Å, b = 5.8373 Å, c = 6.4400 Å
α = 63.05°, β = 63.05°, γ = 90.00°
With the nearest neighbours (Å) after each atom.
Fractional positions:
Cd1 0.7500 0.2500 0.5000  4 Br 2.95
Br1 0.7049 0.7049 0.5903  1 H 2.92, 4 Cd 2.95
H1 0.0000 0.0000 0.0000  2 Br 2.92
Cd2 0.2500 0.7500 0.5000  4 Br 2.95
Br2 0.2951 0.2951 0.4097  1 H 2.92, 4 Cd 2.95

Total energy (eV/cell): -7.285
Space-group type: No. 139
Energy above the most stable polymorph in this dataset (eV per atom): 0.254
Size of the total moment (μB per atom): 0.188



First-principles (PBE) data for a relaxed Cd3HBr crystal, as listed in the Alexandria database.

a = 4.8121 Å, b = 4.8121 Å, c = 4.8121 Å
α = 90.00°, β = 90.00°, γ = 90.00°
With the nearest neighbours (Å) after each atom.
Fractional positions:
H1 0.0000 0.0000 0.0000  6 Cd 2.41
Cd1 0.5000 0.0000 0.0000  2 H 2.41
Cd2 0.0000 0.5000 0.0000  2 H 2.41
Br1 0.5000 0.5000 0.5000  12 Cd 3.40
Cd3 0.0000 0.0000 0.5000  2 H 2.41

Total energy (eV/cell): -6.678
Space-group type: No. 221
Energy above the most stable polymorph in this dataset (eV per atom): 0.000
Size of the total moment (μB per atom): 0.000



First-principles (PBE) data for a relaxed Hf2CdHBr crystal, as listed in the Alexandria database.

a = 4.2893 Å, b = 5.1640 Å, c = 4.2893 Å
α = 90.00°, β = 90.00°, γ = 90.00°
With the nearest neighbours (Å) after each atom.
Fractional positions:
Hf1 0.5000 0.0000 0.0000  2 H 2.14
H1 0.0000 0.0000 0.0000  4 Hf 2.14
Cd1 0.0000 0.5000 0.0000  2 H 2.58
Br1 0.5000 0.5000 0.5000  4 Cd 3.03, 8 Hf 3.36
Hf2 0.0000 0.0000 0.5000  2 H 2.14

Total energy (eV/cell): -24.317
Space-group type: No. 123
Size of the total moment (μB per atom): 0.000



First-principles (PBE) data for a relaxed CdH2IBr crystal, as listed in the Alexandria database.

a = 4.1223 Å, b = 8.4851 Å, c = 4.1223 Å
α = 90.00°, β = 90.00°, γ = 90.00°
With the nearest neighbours (Å) after each atom.
Fractional positions:
Cd1 0.5000 0.5000 0.5000  4 I 2.91
H1 0.5000 0.0000 0.0000  2 Br 2.06
I1 0.0000 0.5000 0.0000  4 Cd 2.91
Br1 0.0000 0.0000 0.0000  4 H 2.06
H2 0.0000 0.0000 0.5000  2 Br 2.06

Total energy (eV/cell): -8.951
Space-group type: No. 123
Size of the total moment (μB per atom): 0.023



First-principles (PBE) data for a relaxed Cd2HIrBr crystal, as listed in the Alexandria database.

a = 4.0625 Å, b = 5.0892 Å, c = 4.0625 Å
α = 90.00°, β = 90.00°, γ = 90.00°
With the nearest neighbours (Å) after each atom.
Fractional positions:
Ir1 0.5000 0.5000 0.5000  4 Br 2.87
Cd1 0.0000 0.0000 0.5000  2 H 2.03
H1 0.0000 0.0000 0.0000  4 Cd 2.03
Cd2 0.5000 0.0000 0.0000  2 H 2.03
Br1 0.0000 0.5000 0.0000  2 H 2.54

Total energy (eV/cell): -12.323
Space-group type: No. 123
Size of the total moment (μB per atom): 0.000



First-principles (PBE) data for a relaxed K2CdH2Br2 crystal, as listed in the Alexandria database.

a = 4.3819 Å, b = 4.3819 Å, c = 9.1746 Å
α = 103.82°, β = 103.82°, γ = 90.00°
With the nearest neighbours (Å) after each atom.
Fractional positions:
K1 0.6261 0.6261 0.2523  4 H 3.09, 4 Br 3.18
K2 0.3739 0.3739 0.7477  4 H 3.09, 4 Br 3.18
Br1 0.8332 0.8332 0.6664  1 Cd 2.88, 4 K 3.18
H1 0.5000 0.0000 0.0000  2 Cd 2.19
Br2 0.1668 0.1668 0.3336  1 Cd 2.88, 4 K 3.18
H2 0.0000 0.5000 0.0000  2 Cd 2.19
Cd1 0.0000 0.0000 0.0000  4 H 2.19

Total energy (eV/cell): -18.573
Space-group type: No. 139
Size of the total moment (μB per atom): 0.000



First-principles (PBE) data for a relaxed K2CdHBr5 crystal, as listed in the Alexandria database.

a = 4.3813 Å, b = 9.7155 Å, c = 13.3145 Å
α = 90.00°, β = 90.00°, γ = 103.03°
With the nearest neighbours (Å) after each atom.
Fractional positions:
H1 0.4778 0.9557 0.3920  1 Br 1.46
Br1 0.6846 0.3693 0.8749  2 Cd 2.94, 1 H 3.08
Cd1 0.1804 0.3608 0.0219  6 Br 2.68-2.94
Br2 0.3065 0.6130 0.6653  2 Cd 2.92
Br3 0.4934 0.9868 0.7899  1 H 1.46
Br4 0.6718 0.3437 0.5181  1 Cd 2.80
K1 0.1430 0.2859 0.3394  7 Br 3.28-3.45
K2 0.8724 0.7448 0.1926  7 Br 3.30-3.60
Br5 0.9609 0.9219 0.5298  1 Cd 2.68, 2 H 2.88
Br6 0.3282 0.6563 0.0181  1 Cd 2.80
Br7 0.3154 0.6307 0.3749  2 Cd 2.94, 1 H 3.08
K3 0.1276 0.2552 0.6926  7 Br 3.30-3.60
K4 0.8570 0.7141 0.8394  7 Br 3.28-3.45
Br8 0.6935 0.3870 0.1653  2 Cd 2.92
Br9 0.5066 0.0132 0.2899  1 H 1.46
Br10 0.0391 0.0781 0.0298  1 Cd 2.68, 2 H 2.88
H2 0.5222 0.0443 0.8920  1 Br 1.46
Cd2 0.8196 0.6392 0.5219  6 Br 2.68-2.94

Total energy (eV/cell): -49.243
Space-group type: No. 36
Size of the total moment (μB per atom): 0.000



First-principles (PBE) data for a relaxed CdH2BrN crystal, as listed in the Alexandria database.

a = 3.5398 Å, b = 5.7972 Å, c = 6.9846 Å
α = 90.00°, β = 90.00°, γ = 107.78°
With the nearest neighbours (Å) after each atom.
Fractional positions:
H1 0.0875 0.1750 0.9566  1 N 1.01
H2 0.9125 0.8250 0.4566  1 N 1.01
H3 0.0875 0.1750 0.5434  1 N 1.01
H4 0.9125 0.8250 0.0434  1 N 1.01
Br1 0.7342 0.4685 0.7500  6 H 2.80-2.84, 2 Cd 2.93
Cd1 0.4462 0.8924 0.7500  4 N 2.56, 8 H 2.73-2.77
N1 0.0000 0.0000 0.5000  2 H 1.01
N2 0.0000 0.0000 0.0000  2 H 1.01
Cd2 0.5538 0.1076 0.2500  4 N 2.56, 8 H 2.73-2.77
Br2 0.2658 0.5315 0.2500  6 H 2.80-2.84, 2 Cd 2.93

Total energy (eV/cell): -36.051
Space-group type: No. 63
Size of the total moment (μB per atom): 0.000



First-principles (PBE) data for a relaxed NaCdHBr2 crystal, as listed in the Alexandria database.

a = 5.6305 Å, b = 6.0224 Å, c = 5.6305 Å
α = 90.00°, β = 90.00°, γ = 90.00°
With the nearest neighbours (Å) after each atom.
Fractional positions:
Cd1 0.0000 0.0000 0.0000  4 Br 2.82, 2 Na 3.01
Br1 0.0000 0.0000 0.5000  2 Cd 2.82
Na1 0.0000 0.5000 0.0000  2 Cd 3.01
Br2 0.5000 0.0000 0.0000  2 Cd 2.82
H1 0.5000 0.5000 0.5000  4 Na 3.98, 8 Br 4.12

Total energy (eV/cell): -8.721
Space-group type: No. 123
Energy above the most stable polymorph in this dataset (eV per atom): 0.756
Size of the total moment (μB per atom): 0.193



First-principles (PBE) data for a relaxed NaCdHBr2 crystal, as listed in the Alexandria database.

a = 5.6959 Å, b = 5.6959 Å, c = 3.7740 Å
α = 90.00°, β = 90.00°, γ = 90.00°
With the nearest neighbours (Å) after each atom.
Fractional positions:
Br1 0.5000 0.0000 0.0000  2 Cd 2.85
Cd1 0.0000 0.0000 0.0000  2 H 1.89
H1 0.0000 0.0000 0.5000  2 Cd 1.89
Na1 0.5000 0.5000 0.5000  8 Br 3.42, 2 Na 3.77
Br2 0.0000 0.5000 0.0000  2 Cd 2.85

Total energy (eV/cell): -12.502
Space-group type: No. 123
Energy above the most stable polymorph in this dataset (eV per atom): 0.000
Size of the total moment (μB per atom): 0.000



First-principles (PBE) data for a relaxed CdH2Br2O crystal, as listed in the Alexandria database.

a = 7.9064 Å, b = 9.2570 Å, c = 6.3713 Å
α = 136.59°, β = 90.00°, γ = 90.00°
With the nearest neighbours (Å) after each atom.
Fractional positions:
Br1 0.9864 0.8740 0.4329  1 H 2.34, 1 Cd 2.50
Br2 0.4864 0.5588 0.4329  1 H 2.34, 1 Cd 2.50
O1 0.3131 0.0943 0.0000  2 H 1.00
Br3 0.9864 0.4412 0.5671  1 H 2.34, 1 Cd 2.50
H1 0.3500 0.0633 0.8212  1 O 1.00
H2 0.8500 0.9367 0.1788  1 O 1.00
Cd1 0.4873 0.8695 0.0000  2 O 2.50-2.60, 2 Br 2.50
Cd2 0.9873 0.1305 0.0000  2 O 2.50-2.60, 2 Br 2.50
Br4 0.4864 0.1260 0.5671  1 H 2.34, 1 Cd 2.50
H3 0.8500 0.7579 0.8212  1 O 1.00
O2 0.8131 0.9057 0.0000  2 H 1.00
H4 0.3500 0.2421 0.1788  1 O 1.00

Total energy (eV/cell): -42.080
Space-group type: No. 36
Size of the total moment (μB per atom): 0.000